(1)
Crystalline LaSiOs2Pb at its relaxed geometry, computed with GGA-PBE.

The energy relative to the elements, uncorrected comes out at 1.61 eV per atom.

The structure belongs to space group P4/mmm (No. 123); the cell edges are 5.035, 5.035 and 5.070 Å and the angles 90.00°, 90.00° and 90.00°. The inequivalent atoms are La at (0.000, 0.000, 0.000), Si at (0.500, 0.500, 0.000), Os at (0.000, 0.500, 0.500) and Pb at (0.500, 0.500, 0.500).


(2)
Crystalline LaSnOs2Pb at its relaxed geometry, computed with GGA-PBE.

Its formation energy is 39.739 kcal/mol of atoms.

The structure belongs to space group P4/mmm (No. 123); the cell edges are 5.012, 5.012 and 5.819 Å and the angles 90.00°, 90.00° and 90.00°. The inequivalent atoms are La at (0.000, 0.000, 0.000), Sn at (0.500, 0.500, 0.000), Os at (0.000, 0.500, 0.500) and Pb at (0.000, 0.000, 0.500).